# 1
AcTl2MoO8 | PBE with a Hubbard U | relaxed

a = 7.1876 Å, b = 7.1892 Å, c = 7.1311 Å
α = 90.00°, β = 90.00°, γ = 90.00°
Closest atoms and distances in Å follow each position.
Space group Cmmm (No. 65)
One atom of each set of equivalent atoms:
1 Ac 0.0000 0.0000 0.0000 [2 per cell]  6 O 2.33-2.52
2 Tl 0.0000 0.5000 0.2661 [4 per cell]  6 O 2.28-2.31
3 Mo 0.0000 0.0000 0.5000 [2 per cell]  6 O 1.93-2.00
4 O 0.0000 0.2786 0.5000 [4 per cell]  1 Mo 2.00
5 O 0.0000 0.3243 0.0000 [4 per cell]  2 Tl 2.28, 1 Ac 2.33, 1 O 2.53
6 O 0.1824 0.0000 0.3017 [8 per cell]  1 Mo 1.93

Summary:
* volume: 15.35 A^3/atom
* E: -6.0304 eV per atom
* calculated density: 7.75 g/cm³


# 2
Ac2Tl2MoO6 | PBE with a Hubbard U | relaxed

a = 6.4370 Å, b = 10.8316 Å, c = 6.6802 Å
α = 90.00°, β = 106.05°, γ = 90.00°
Closest atoms and distances in Å follow each position.
Space group C2/m (No. 12)
One atom of each set of equivalent atoms:
1 Ac 0.0000 0.1647 0.0000 [4 per cell]  6 O 2.49-2.59
2 Tl 0.0000 0.3459 0.5000 [4 per cell]  4 O 2.72-2.88
3 Mo 0.0000 0.5000 0.0000 [2 per cell]  6 O 2.09-2.21
4 O 0.1918 0.3562 0.1584 [8 per cell]  1 Mo 2.09
5 O 0.2271 0.5000 0.8046 [4 per cell]  1 Mo 2.21

Summary:
* volume: 20.35 A^3/atom
* E: -6.5598 eV per atom
* calculated density: 7.83 g/cm³


# 3
Ac2TmMoO6 | PBE with a Hubbard U | relaxed

a = 5.9224 Å, b = 6.0660 Å, c = 10.2940 Å
α = 90.00°, β = 124.92°, γ = 90.00°
Closest atoms and distances in Å follow each position.
Space group P2_1/c (No. 14)
One atom of each set of equivalent atoms:
1 Ac 0.2378 0.0464 0.2495 [4 per cell]  4 O 2.49-2.61
2 Tm 0.5000 0.0000 0.0000 [2 per cell]  6 O 2.22
3 Mo 0.0000 0.0000 0.5000 [2 per cell]  6 O 2.18
4 O 0.1479 0.2062 0.9479 [4 per cell]  1 Mo 2.18, 1 Tm 2.22
5 O 0.2398 0.7030 0.9462 [4 per cell]  1 Mo 2.18, 1 Tm 2.22
6 O 0.3469 0.0371 0.7473 [4 per cell]  1 Mo 2.18, 1 Tm 2.22

Summary:
* volume: 15.16 A^3/atom
* E: -8.0030 eV per atom
* calculated density: 8.92 g/cm³


# 4
Ac2UMoO8 | PBE with a Hubbard U | relaxed

a = 4.2899 Å, b = 5.6167 Å, c = 8.0762 Å
α = 82.30°, β = 87.52°, γ = 82.23°
Closest atoms and distances in Å follow each position.
Space group P-1 (No. 2)
One atom of each set of equivalent atoms:
1 Ac 0.0199 0.0319 0.2507 [2 per cell]  8 O 2.48-2.71
2 U 0.5000 0.5000 0.5000 [1 per cell]  4 O 2.01-2.04
3 Mo 0.5000 0.5000 0.0000 [1 per cell]  4 O 1.91-2.09
4 O 0.0805 0.7178 0.5165 [2 per cell]  1 U 2.04
5 O 0.1449 0.7347 0.0305 [2 per cell]  1 Mo 1.91
6 O 0.4324 0.2272 0.6800 [2 per cell]  1 U 2.01
7 O 0.4593 0.3200 0.2420 [2 per cell]  1 Mo 2.09

Summary:
* volume: 15.92 A^3/atom
* E: -8.3621 eV per atom
* calculated density: 7.96 g/cm³


# 5
AcUMoO6 | PBE with a Hubbard U | relaxed

a = 5.9999 Å, b = 5.9999 Å, c = 8.6367 Å
α = 90.00°, β = 90.00°, γ = 120.00°
Closest atoms and distances in Å follow each position.
Space group P-31c (No. 163)
One atom of each set of equivalent atoms:
1 Ac 0.3333 0.6667 0.2500 [2 per cell]  6 O 2.53
2 U 0.3333 0.6667 0.7500 [2 per cell]  6 O 2.11
3 Mo 0.0000 0.0000 0.0000 [2 per cell]  6 O 2.23
4 O 0.0549 0.3523 0.6214 [12 per cell]  1 U 2.11, 1 Mo 2.23

Summary:
* volume: 14.96 A^3/atom
* E: -8.4470 eV per atom
* calculated density: 8.10 g/cm³


# 6
AcVMo2O8 | PBE with a Hubbard U | relaxed

a = 5.3805 Å, b = 5.3805 Å, c = 18.2870 Å
α = 90.00°, β = 90.00°, γ = 120.00°
Closest atoms and distances in Å follow each position.
Space group R-3 (No. 148, hexagonal axes)
One atom of each set of equivalent atoms:
1 Ac 0.0000 0.0000 0.0000 [3 per cell]  6 O 2.64
2 V 0.0000 0.0000 0.5000 [3 per cell]  6 O 1.99
3 Mo 0.0000 0.0000 0.1993 [6 per cell]  1 O 1.85
4 O 0.0000 0.0000 0.3007 [6 per cell]  1 Mo 1.85
5 O 0.0279 0.6223 0.7843 [18 per cell]  1 V 1.99, 2 Mo 2.13-2.14

Summary:
* volume: 12.74 A^3/atom
* E: -7.4496 eV per atom
* calculated density: 6.50 g/cm³


# 7
AcVMoO6 | PBE with a Hubbard U | relaxed

a = 5.1424 Å, b = 9.3865 Å, c = 5.3625 Å
α = 90.00°, β = 92.17°, γ = 90.00°
Closest atoms and distances in Å follow each position.
Space group C2 (No. 5)
One atom of each set of equivalent atoms:
1 Ac 0.0000 0.0000 0.0000 [2 per cell]  6 O 2.52-2.56
2 V 0.0000 0.3438 0.5000 [2 per cell]  6 O 1.88-2.07
3 Mo 0.0000 0.6642 0.5000 [2 per cell]  6 O 1.92-2.10
4 O 0.1210 0.5023 0.2914 [4 per cell]  1 V 1.98, 1 Mo 2.00
5 O 0.1903 0.1920 0.2936 [4 per cell]  1 Mo 1.92, 1 V 2.07
6 O 0.1962 0.8195 0.2984 [4 per cell]  1 V 1.88, 1 Mo 2.10

Summary:
* volume: 14.37 A^3/atom
* E: -7.7396 eV per atom
* calculated density: 6.03 g/cm³


# 8
AcV2MoO8 | PBE with a Hubbard U | relaxed

a = 5.8845 Å, b = 5.8845 Å, c = 6.5896 Å
α = 90.00°, β = 90.00°, γ = 120.00°
Closest atoms and distances in Å follow each position.
Space group P-3m1 (No. 164)
One atom of each set of equivalent atoms:
1 Ac 0.0000 0.0000 0.0000 [1 per cell]  6 O 2.51
2 V 0.3333 0.6667 0.3654 [2 per cell]  4 O 1.63-1.80
3 Mo 0.0000 0.0000 0.5000 [1 per cell]  6 O 2.19
4 O 0.1642 0.3285 0.2846 [6 per cell]  1 V 1.80
5 O 0.3333 0.6667 0.6125 [2 per cell]  1 V 1.63

Summary:
* volume: 16.47 A^3/atom
* E: -7.6203 eV per atom
* calculated density: 4.65 g/cm³


# 9
AcYMo2O8 | PBE with a Hubbard U | relaxed

a = 5.4138 Å, b = 5.4138 Å, c = 11.6404 Å
α = 90.00°, β = 90.00°, γ = 90.00°
Closest atoms and distances in Å follow each position.
Space group I-4 (No. 82)
One atom of each set of equivalent atoms:
1 Ac 0.0000 0.0000 0.0000 [2 per cell]  8 O 2.55-2.57
2 Y 0.0000 0.5000 0.7500 [2 per cell]  8 O 2.35-2.53
3 Mo 0.0000 0.0000 0.5000 [2 per cell]  4 O 1.82
4 Mo 0.0000 0.5000 0.2500 [2 per cell]  4 O 1.98
5 O 0.1534 0.2342 0.5858 [8 per cell]  1 Mo 1.82
6 O 0.1866 0.7590 0.1668 [8 per cell]  1 Mo 1.98

Summary:
* volume: 14.22 A^3/atom
* E: -7.7834 eV per atom
* calculated density: 6.19 g/cm³


# 10
Ac2YMo3O12 | PBE with a Hubbard U | relaxed

a = 7.3725 Å, b = 7.3725 Å, c = 16.0011 Å
α = 90.00°, β = 90.00°, γ = 120.00°
Closest atoms and distances in Å follow each position.
Space group R-3m (No. 166, hexagonal axes)
One atom of each set of equivalent atoms:
1 Ac 0.0000 0.0000 0.1159 [6 per cell]  3 O 2.38
2 Y 0.0000 0.0000 0.5000 [3 per cell]  12 O 2.59-2.78
3 Mo 0.0000 0.5000 0.0000 [9 per cell]  6 O 1.93-2.02
4 O 0.0543 0.5272 0.8814 [18 per cell]  1 Mo 1.93
5 O 0.0634 0.5317 0.3033 [18 per cell]  2 Mo 2.02

Summary:
* volume: 13.95 A^3/atom
* E: -7.6507 eV per atom
* calculated density: 6.76 g/cm³


# 11
Ac2YMoO8 | PBE with a Hubbard U | relaxed

a = 4.6213 Å, b = 5.5760 Å, c = 7.2216 Å
α = 90.08°, β = 90.04°, γ = 95.02°
Closest atoms and distances in Å follow each position.
Space group P-1 (No. 2)
One atom of each set of equivalent atoms:
1 Ac 0.0029 0.0015 0.2566 [2 per cell]  6 O 2.35-2.63
2 Y 0.5000 0.5000 0.0000 [1 per cell]  2 O 2.20
3 Mo 0.5000 0.5000 0.5000 [1 per cell]  6 O 1.94-1.98
4 O 0.1001 0.2536 0.9995 [2 per cell]  1 Y 2.20, 2 Ac 2.35
5 O 0.1093 0.3423 0.5015 [2 per cell]  1 Mo 1.94, 1 O 2.10
6 O 0.4266 0.7224 0.2958 [2 per cell]  1 Mo 1.98
7 O 0.4285 0.7245 0.7043 [2 per cell]  1 Mo 1.98

Summary:
* volume: 15.45 A^3/atom
* E: -7.6416 eV per atom
* calculated density: 6.87 g/cm³


# 12
Ac2YMoO6 | PBE with a Hubbard U | relaxed

a = 5.9512 Å, b = 6.1164 Å, c = 10.3469 Å
α = 90.00°, β = 124.79°, γ = 90.00°
Closest atoms and distances in Å follow each position.
Space group P2_1/c (No. 14)
One atom of each set of equivalent atoms:
1 Ac 0.2365 0.0484 0.2495 [4 per cell]  4 O 2.49-2.61
2 Y 0.5000 0.0000 0.0000 [2 per cell]  6 O 2.26-2.27
3 Mo 0.0000 0.0000 0.5000 [2 per cell]  6 O 2.18-2.19
4 O 0.1402 0.2068 0.9445 [4 per cell]  1 Mo 2.19, 1 Y 2.26
5 O 0.2365 0.6994 0.9436 [4 per cell]  1 Mo 2.18, 1 Y 2.27
6 O 0.3499 0.0414 0.7447 [4 per cell]  1 Mo 2.19, 1 Y 2.27

Summary:
* volume: 15.47 A^3/atom
* E: -8.1564 eV per atom
* calculated density: 7.89 g/cm³


# 13
AcZnMo2O8 | PBE with a Hubbard U | relaxed

a = 5.3099 Å, b = 5.3099 Å, c = 11.7067 Å
α = 90.00°, β = 90.00°, γ = 90.00°
Closest atoms and distances in Å follow each position.
Space group I-4 (No. 82)
One atom of each set of equivalent atoms:
1 Ac 0.0000 0.0000 0.0000 [2 per cell]  8 O 2.51-2.61
2 Zn 0.0000 0.5000 0.2500 [2 per cell]  8 O 2.31-2.51
3 Mo 0.0000 0.0000 0.5000 [2 per cell]  4 O 1.81
4 Mo 0.0000 0.5000 0.7500 [2 per cell]  4 O 1.89
5 O 0.1522 0.2399 0.4152 [8 per cell]  1 Mo 1.81
6 O 0.1847 0.7531 0.8267 [8 per cell]  1 Mo 1.89

Summary:
* volume: 13.75 A^3/atom
* E: -6.8477 eV per atom
* calculated density: 6.16 g/cm³


# 14
AcZrMoO6 | PBE with a Hubbard U | relaxed

a = 5.0972 Å, b = 5.0972 Å, c = 10.2494 Å
α = 90.00°, β = 90.00°, γ = 90.00°
Closest atoms and distances in Å follow each position.
Space group P4_2nm (No. 102)
One atom of each set of equivalent atoms:
1 Ac 0.0000 0.0000 0.0000 [2 per cell]  6 O 2.39-2.62
2 Zr 0.0000 0.0000 0.3422 [2 per cell]  6 O 2.08-2.27
3 Mo 0.0000 0.0000 0.6697 [2 per cell]  6 O 1.93-2.12
4 O 0.1694 0.1694 0.5109 [4 per cell]  1 Mo 2.03, 1 Zr 2.12
5 O 0.2147 0.2147 0.8109 [4 per cell]  1 Zr 2.08, 1 Mo 2.12
6 O 0.2349 0.2349 0.1954 [4 per cell]  1 Mo 1.93

Summary:
* volume: 14.79 A^3/atom
* E: -8.1385 eV per atom
* calculated density: 6.36 g/cm³


# 15
AcZr2MoO8 | PBE with a Hubbard U | relaxed

a = 5.0276 Å, b = 5.0296 Å, c = 6.8327 Å
α = 90.15°, β = 90.15°, γ = 91.70°
Closest atoms and distances in Å follow each position.
Space group P-1 (No. 2)
One atom of each set of equivalent atoms:
1 Ac 0.0000 0.0000 0.0000 [1 per cell]  6 O 2.39-2.48
2 Zr 0.4955 0.4953 0.2580 [2 per cell]  6 O 2.06-2.21
3 Mo 0.0000 0.0000 0.5000 [1 per cell]  6 O 1.93-2.14
4 O 0.1965 0.1971 0.6985 [2 per cell]  1 Mo 1.93
5 O 0.2028 0.2036 0.2921 [2 per cell]  1 Mo 2.01, 1 Zr 2.06
6 O 0.2966 0.7038 0.5000 [2 per cell]  1 Mo 2.14, 2 Zr 2.21
7 O 0.3315 0.6705 0.0000 [2 per cell]  2 Zr 2.15, 1 Ac 2.39

Summary:
* volume: 14.39 A^3/atom
* E: -8.4362 eV per atom
* calculated density: 6.09 g/cm³


# 16
Ac2ZrMoO6 | PBE with a Hubbard U | relaxed

a = 5.9350 Å, b = 5.9350 Å, c = 8.3830 Å
α = 90.00°, β = 90.00°, γ = 90.00°
Closest atoms and distances in Å follow each position.
Space group I4/mmm (No. 139)
One atom of each set of equivalent atoms:
1 Ac 0.0000 0.5000 0.2500 [4 per cell]  12 O 2.97
2 Zr 0.0000 0.0000 0.0000 [2 per cell]  6 O 2.09
3 Mo 0.0000 0.0000 0.5000 [2 per cell]  6 O 2.10
4 O 0.0000 0.0000 0.2492 [4 per cell]  1 Zr 2.09, 1 Mo 2.10
5 O 0.2492 0.2492 0.0000 [8 per cell]  1 Zr 2.09, 1 Mo 2.10

Summary:
* volume: 14.76 A^3/atom
* E: -8.0975 eV per atom
* calculated density: 8.29 g/cm³